A plane-wave DFT calculation with PBE was carried out for TbSmSn after structural relaxation.

excess energy over the best structure of this formula in the dataset	0	meV/atom

Cell: 5.1959 5.1959 5.1959 Å, 60.00 60.00 60.00°
Sites, in units of the cell vectors:
Tb1 0.0000 0.0000 0.0000
Sm1 0.5000 0.5000 0.5000
Sn1 0.7500 0.7500 0.7500